No. 1
Entry from Alexandria: crystalline AgMo2AsPd at its relaxed geometry (PBE).

Its raw total energy is -4.8582 eV/atom. The calculation puts the density of states at the Fermi level at 7.5 states/eV/f.u. For the formation energy, the calculation gives 2.013 eV/atom.

It has space group P4/mmm (No. 123), with a = 4.955 Å, b = 4.955 Å, c = 4.827 Å, α = 90.00°, β = 90.00° and γ = 90.00°. The asymmetric unit holds Ag at (0.000, 0.000, 0.000), Mo at (0.000, 0.500, 0.000), As at (0.500, 0.500, 0.500) and Pd at (0.000, 0.000, 0.500).



No. 2
Entry from Alexandria: crystalline Ag2MoAsPd at its relaxed geometry (PBE).

Its raw total energy is -4.4134 eV/atom. The calculation puts the density of states at the Fermi level at 3.3 states/eV/f.u. For the formation energy, the calculation gives 0.862 eV/atom.

It has space group P4/mmm (No. 123), with a = 4.778 Å, b = 4.778 Å, c = 4.774 Å, α = 90.00°, β = 90.00° and γ = 90.00°. The asymmetric unit holds Ag at (0.000, 0.500, 0.000), Mo at (0.000, 0.000, 0.500), As at (0.000, 0.000, 0.000) and Pd at (0.500, 0.500, 0.500).



No. 3
Entry from Alexandria: crystalline AgMoAsS2 at its relaxed geometry (PBE).

Its raw total energy is -4.0753 eV/atom. The calculation puts the density of states at the Fermi level at 3.0 states/eV/f.u.

It has space group P4/mmm (No. 123), with a = 4.748 Å, b = 4.748 Å, c = 4.992 Å, α = 90.00°, β = 90.00° and γ = 90.00°. The asymmetric unit holds Ag at (0.000, 0.000, 0.000), Mo at (0.500, 0.500, 0.500), As at (0.000, 0.000, 0.500) and S at (0.000, 0.500, 0.000).